(1)
Density functional theory data (PBE) for TbHfHg2 after structural relaxation.

Lattice parameters (Å, degrees): 7.224 7.224 7.224 90.00 90.00 90.00
Space group Fm-3m (No. 225)
Asymmetric unit:
Tb (0.000, 0.000, 0.000)
Hf (0.000, 0.000, 0.500)
Hg (0.250, 0.250, 0.250)

Results
Energy of formation from the pure elements (eV/atom): -0.167
ΔE to the lowest computed polymorph (kcal/mol of atoms): 0.77

---

(2)
Density functional theory data (PBE) for Zn3Ga3Bi after structural relaxation.

Lattice parameters (Å, degrees): 7.057 7.057 7.057 90.00 90.00 90.00
Space group Pm-3n (No. 223)
Asymmetric unit:
Zn (0.000, 0.250, 0.500)
Ga (0.000, 0.500, 0.250)
Bi (0.000, 0.000, 0.000)

Results
Energy of formation from the pure elements (eV/atom): 0.389

---

(3)
Density functional theory data (PBE) for Hg4Pt after structural relaxation.

Lattice parameters (Å, degrees): 6.366 6.366 6.366 90.00 90.00 90.00
Space group Im-3m (No. 229)
Asymmetric unit:
Hg (0.250, 0.250, 0.250)
Pt (0.000, 0.000, 0.000)

Results
Energy of formation from the pure elements (eV/atom): -0.105
ΔE to the lowest computed polymorph (kcal/mol of atoms): 0.00

---

(4)
Density functional theory data (PBE) for Dy6Si2SnS3 after structural relaxation.

Lattice parameters (Å, degrees): 17.829 4.036 8.236 90.00 104.13 90.00
Space group C2/m (No. 12)
Asymmetric unit:
Dy (0.000, 0.000, 0.232)
Dy (0.169, 0.500, 0.080)
Dy (0.173, 0.500, 0.590)
Si (0.166, 0.000, 0.832)
Sn (0.000, 0.500, 0.500)
S (0.000, 0.500, 0.000)
S (0.167, 0.000, 0.331)

Results
Formation energy without anion corrections (eV/atom): -1.332

---

(5)
Density functional theory data (PBE) for FeAsAu2 after structural relaxation.

Lattice parameters (Å, degrees): 5.504 10.055 2.880 90.00 120.16 90.00
Space group C2/m (No. 12)
Asymmetric unit:
Fe (0.000, 0.000, 0.000)
As (0.000, 0.500, 0.000)
Au (0.250, 0.250, 0.500)

Results
Energy of formation from the pure elements (eV/atom): 0.271

---

(6)
Density functional theory data (PBE) for KHfGa after structural relaxation.

Lattice parameters (Å, degrees): 5.154 5.154 7.983 90.00 90.00 90.00
Space group P4/nmm (No. 129, origin choice 2)
Asymmetric unit:
K (0.250, 0.250, 0.150)
Hf (0.250, 0.250, 0.590)
Ga (0.250, 0.750, 0.500)

Results
Energy of formation from the pure elements (eV/atom): 0.374
ΔE to the lowest computed polymorph (kcal/mol of atoms): 10.44

---

(7)
Density functional theory data (PBE) for MnAgN after structural relaxation.

Lattice parameters (Å, degrees): 12.092 3.356 8.679 90.00 102.89 90.00
Space group C2/m (No. 12)
Asymmetric unit:
Mn (0.056, 0.000, 0.395)
Mn (0.234, 0.000, 0.599)
Ag (0.081, 0.500, 0.137)
Ag (0.155, 0.000, 0.906)
N (0.097, 0.000, 0.627)
N (0.206, 0.000, 0.368)

Results
ΔE to the lowest computed polymorph (kcal/mol of atoms): 0.00
Formation energy without anion corrections (eV/atom): 0.093

---

(8)
Density functional theory data (PBE) for La2PmIn after structural relaxation.

Lattice parameters (Å, degrees): 3.722 3.722 9.655 90.00 90.00 90.00
Space group P4/mmm (No. 123)
Asymmetric unit:
La (0.000, 0.000, 0.226)
Pm (0.500, 0.500, 0.500)
In (0.500, 0.500, 0.000)

Results
Energy of formation from the pure elements (eV/atom): -0.219
ΔE to the lowest computed polymorph (kcal/mol of atoms): 1.63